Entry 1:
Tb3Y4Au4 | PBE | relaxed

abc: 4.8650 7.6749 9.0998
angles: 114.94 105.50 90.00
Element x y z (fractional)
Tb 0.8985 0.8985 0.7971
Tb 0.1015 0.1015 0.2029
Tb 0.0000 0.5000 0.0000
Y 0.3272 0.1104 0.6544
Y 0.6728 0.4560 0.3456
Y 0.6728 0.8896 0.3456
Y 0.3272 0.5440 0.6544
Au 0.5000 0.1875 0.0000
Au 0.5000 0.8125 0.0000
Au 0.7977 0.2977 0.5954
Au 0.2023 0.7023 0.4046

Output
The total energy comes out at -58.9 eV per cell. The energy relative to the elements comes out at -12.67 kcal/mol of atoms.

Entry 2:
TbYAu | PBE | relaxed

abc: 4.9898 4.9898 4.9898
angles: 60.00 60.00 60.00
Element x y z (fractional)
Y 0.0000 0.0000 0.0000
Tb 0.5000 0.5000 0.5000
Au 0.2500 0.2500 0.2500

Output
The total energy comes out at -15.7 eV per cell. The energy relative to the elements comes out at -10.19 kcal/mol of atoms. The value obtained for the offset from the most stable computed form is 113 meV/atom.

Entry 3:
TbYAu4 | PBE | relaxed

abc: 3.7552 5.2745 7.4822
angles: 80.31 75.51 110.95
Element x y z (fractional)
Au 0.1674 0.4992 0.6663
Au 0.6682 0.9996 0.1657
Au 0.8352 0.4954 0.3300
Au 0.3344 0.9950 0.8306
Y 0.0013 0.9973 0.4981
Tb 0.5013 0.4973 0.9981

Output
The total energy comes out at -29.3 eV per cell. The energy relative to the elements comes out at -19.75 kcal/mol of atoms.

Entry 4:
Tb2Y3Au2 | PBE | relaxed

abc: 3.7049 6.6501 9.2240
angles: 114.73 90.00 106.17
Element x y z (fractional)
Y 0.3873 0.7745 0.5573
Y 0.5000 0.0000 0.0000
Y 0.6127 0.2255 0.4427
Au 0.1727 0.3454 0.2302
Au 0.8273 0.6546 0.7698
Tb 0.1537 0.3074 0.8136
Tb 0.8463 0.6926 0.1864

Output
The total energy comes out at -38.7 eV per cell. The energy relative to the elements comes out at -11.57 kcal/mol of atoms.

Entry 5:
Tb4Y3Au4 | PBE | relaxed

abc: 4.8606 7.6945 9.0917
angles: 115.03 105.50 90.00
Element x y z (fractional)
Au 0.7960 0.2960 0.5920
Au 0.5000 0.1873 0.0000
Au 0.2040 0.7040 0.4080
Au 0.5000 0.8127 0.0000
Y 0.1025 0.1025 0.2050
Y 0.8975 0.8975 0.7950
Y 0.0000 0.5000 0.0000
Tb 0.6723 0.4571 0.3446
Tb 0.3277 0.1126 0.6554
Tb 0.3277 0.5429 0.6554
Tb 0.6723 0.8874 0.3446

Output
The total energy comes out at -57.1 eV per cell. The energy relative to the elements comes out at -12.81 kcal/mol of atoms.

Entry 6:
TbY2Au4 | PBE | relaxed

abc: 6.1239 6.1239 6.1239
angles: 109.51 109.45 109.45
Element x y z (fractional)
Au 0.5000 0.5000 0.5000
Au 0.5000 0.0000 0.0000
Au 0.0000 0.5000 0.0000
Au 0.0000 0.0000 0.5000
Y 0.5000 0.5000 0.0000
Y 0.5000 0.0000 0.5000
Tb 0.0000 0.0000 0.0000

Output
The total energy comes out at -35.3 eV per cell. The energy relative to the elements comes out at -15.34 kcal/mol of atoms.

Entry 7:
TbY2Au3 | PBE | relaxed

abc: 3.5907 3.5907 10.9324
angles: 90.00 90.00 90.00
Element x y z (fractional)
Au 0.0000 0.0000 0.6669
Au 0.0000 0.0000 0.0000
Au 0.0000 0.0000 0.3331
Y 0.5000 0.5000 0.8336
Y 0.5000 0.5000 0.1664
Tb 0.5000 0.5000 0.5000

Output
The total energy comes out at -32.6 eV per cell. The energy relative to the elements comes out at -19.84 kcal/mol of atoms.

Entry 8:
TbY3Au | PBE | relaxed

abc: 7.1874 7.1874 7.7798
angles: 101.94 116.59 106.95
Element x y z (fractional)
Tb 0.6975 0.0806 0.7781
Tb 0.3025 0.9194 0.2219
Y 0.2268 0.3937 0.2210
Y 0.7732 0.6063 0.7790
Y 0.7337 0.4568 0.1906
Y 0.2663 0.5432 0.8094
Y 0.1726 0.0058 0.7790
Y 0.8274 0.9942 0.2210
Au 0.6579 0.7725 0.4304
Au 0.3421 0.2275 0.5696

Output
The total energy comes out at -56.9 eV per cell. The energy relative to the elements comes out at -5.40 kcal/mol of atoms.

Entry 9:
TbYAu | PBE | relaxed

abc: 3.6116 3.6116 6.6853
angles: 105.67 105.67 90.00
Each line ends with the local moment (μB).
Element x y z (fractional)
Au 0.6663 0.6663 0.3327  0.01
Y 0.3113 0.3113 0.6225  0.23
Tb 0.0224 0.0224 0.0448  0.29

Output
The total energy comes out at -16.0 eV per cell. The energy relative to the elements comes out at -12.41 kcal/mol of atoms. The value obtained for the offset from the most stable computed form is 17 meV/atom.

Entry 10:
TbYAu | PBE | relaxed

abc: 3.8417 4.9182 4.9182
angles: 120.00 90.00 90.00
Element x y z (fractional)
Au 0.9996 0.0000 0.0000
Y 0.2656 0.3333 0.6667
Tb 0.7349 0.6667 0.3333

Output
The total energy comes out at -15.6 eV per cell. The energy relative to the elements comes out at -9.53 kcal/mol of atoms. The value obtained for the offset from the most stable computed form is 142 meV/atom.

Entry 11:
TbY4Au2 | PBE | relaxed

abc: 4.9857 4.9857 10.3343
angles: 76.04 76.04 60.00
Element x y z (fractional)
Au 0.3990 0.3990 0.8030
Au 0.6010 0.6010 0.1970
Tb 0.5000 0.5000 0.5000
Y 0.1024 0.1024 0.6927
Y 0.8976 0.8976 0.3073
Y 0.2982 0.2982 0.1054
Y 0.7018 0.7018 0.8946

Output
The total energy comes out at -38.9 eV per cell. The energy relative to the elements comes out at -5.96 kcal/mol of atoms.

Entry 12:
TbY5Au6 | PBE | relaxed

abc: 5.0950 8.8444 8.8444
angles: 120.05 106.69 106.69
Element x y z (fractional)
Tb 0.0000 0.0000 0.0000
Au 0.2492 0.4159 0.0827
Au 0.2492 0.0827 0.4159
Au 0.7508 0.9173 0.5841
Au 0.2513 0.7514 0.7514
Au 0.7508 0.5841 0.9173
Au 0.7487 0.2486 0.2486
Y 0.0000 0.6663 0.3337
Y 0.5000 0.5000 0.5000
Y 0.5000 0.8328 0.1672
Y 0.0000 0.3337 0.6663
Y 0.5000 0.1672 0.8328

Output
The total energy comes out at -66.9 eV per cell. The energy relative to the elements comes out at -19.79 kcal/mol of atoms.

Entry 13:
TbYAu2 | PBE | relaxed

abc: 3.5869 5.1258 5.1258
angles: 90.00 90.00 90.00
Element x y z (fractional)
Au 0.0000 0.0000 0.5000
Au 0.0000 0.5000 0.0000
Tb 0.5000 0.5000 0.5000
Y 0.5000 0.0000 0.0000

Output
The total energy comes out at -21.1 eV per cell. The energy relative to the elements comes out at -19.70 kcal/mol of atoms. The value obtained for the offset from the most stable computed form is 26 meV/atom.

Entry 14:
TbYAu4 | PBE | relaxed

abc: 5.3207 5.3113 5.2698
angles: 89.97 59.68 89.96
Element x y z (fractional)
Au 0.3351 0.4999 0.8299
Au 0.1648 0.0000 0.1703
Au 0.8352 0.0000 0.8297
Au 0.6649 0.5001 0.1701
Y 0.0000 0.5000 0.5000
Tb 0.5000 0.0000 0.5000

Output
The total energy comes out at -29.3 eV per cell. The energy relative to the elements comes out at -19.72 kcal/mol of atoms.

Entry 15:
TbY2Au2 | PBE | relaxed

abc: 3.8524 8.1560 8.1560
angles: 90.00 90.00 90.00
Element x y z (fractional)
Au 0.0000 0.1329 0.3671
Au 0.0000 0.6329 0.1329
Au 0.0000 0.8671 0.6329
Au 0.0000 0.3671 0.8671
Y 0.5000 0.8378 0.3378
Y 0.5000 0.6622 0.8378
Y 0.5000 0.3378 0.1622
Y 0.5000 0.1622 0.6622
Tb 0.0000 0.5000 0.5000
Tb 0.0000 0.0000 0.0000

Output
The total energy comes out at -55.2 eV per cell. The energy relative to the elements comes out at -16.20 kcal/mol of atoms.

Entry 16:
TbYAu | PBE | relaxed

abc: 4.9972 4.9972 8.6219
angles: 73.15 73.15 60.00
Element x y z (fractional)
Au 0.2498 0.2498 0.2506
Au 0.7502 0.7502 0.7494
Tb 0.1253 0.1253 0.6240
Tb 0.8747 0.8747 0.3760
Y 0.3754 0.3754 0.8739
Y 0.6246 0.6246 0.1261

Output
The total energy comes out at -31.4 eV per cell. The energy relative to the elements comes out at -10.23 kcal/mol of atoms. The value obtained for the offset from the most stable computed form is 112 meV/atom.

Entry 17:
TbYAu | PBE | relaxed

abc: 3.8437 8.2707 15.3900
angles: 88.29 90.00 90.00
Element x y z (fractional)
Y 0.7500 0.6558 0.0831
Y 0.7500 0.9852 0.2942
Y 0.7500 0.5405 0.3843
Y 0.2500 0.4595 0.6157
Y 0.2500 0.0148 0.7058
Y 0.2500 0.3442 0.9169
Au 0.2500 0.7206 0.2476
Au 0.7500 0.7655 0.6148
Au 0.2500 0.2345 0.3852
Au 0.7500 0.2868 0.0685
Au 0.2500 0.7132 0.9315
Au 0.7500 0.2794 0.7524
Tb 0.7500 0.1616 0.5184
Tb 0.2500 0.3674 0.2118
Tb 0.2500 0.8384 0.4816
Tb 0.7500 0.6326 0.7882
Tb 0.7500 0.9797 0.9093
Tb 0.2500 0.0203 0.0907

Output
The total energy comes out at -96.2 eV per cell. The energy relative to the elements comes out at -12.80 kcal/mol of atoms. The value obtained for the offset from the most stable computed form is 0 meV/atom.

Entry 18:
TbY3Au4 | PBE | relaxed

abc: 3.6088 3.6088 14.4325
angles: 90.00 90.00 90.00
Element x y z (fractional)
Au 0.0000 0.0000 0.8749
Au 0.0000 0.0000 0.3755
Au 0.0000 0.0000 0.6245
Au 0.0000 0.0000 0.1251
Y 0.5000 0.5000 0.2503
Y 0.5000 0.5000 0.5000
Y 0.5000 0.5000 0.7497
Tb 0.5000 0.5000 0.0000

Output
The total energy comes out at -44.0 eV per cell. The energy relative to the elements comes out at -19.73 kcal/mol of atoms.

Entry 19:
TbYAu2 | PBE | relaxed

abc: 4.0198 4.0198 7.8819
angles: 75.23 75.23 60.00
Element x y z (fractional)
Tb 0.6680 0.6680 0.9959
Y 0.4989 0.4989 0.5032
Au 0.0838 0.0838 0.7485
Au 0.2492 0.2492 0.2525

Output
The total energy comes out at -20.5 eV per cell. The energy relative to the elements comes out at -16.70 kcal/mol of atoms. The value obtained for the offset from the most stable computed form is 156 meV/atom.

Entry 20:
TbYAu6 | PBE | relaxed

abc: 4.5461 5.1136 8.2043
angles: 82.25 73.92 63.61
Element x y z (fractional)
Au 0.5002 0.2498 0.7499
Au 0.2509 0.8734 0.6248
Au 0.7490 0.6266 0.8755
Au 0.7491 0.1266 0.3752
Au 0.4998 0.7502 0.2501
Au 0.2510 0.3734 0.1245
Tb 0.0000 0.0000 0.0000
Y 0.0000 0.5000 0.5000

Output
The total energy comes out at -36.1 eV per cell. The energy relative to the elements comes out at -15.44 kcal/mol of atoms.